Entry 1:
Tm6PdAu5 | PBE | relaxed

a b c (Å): 8.670 15.001 4.983
angles (deg): 90.00 124.89 90.00
Space group C2/m (No. 12)
One atom of each set of equivalent atoms:
Tm 0.247 0.000 0.247
Tm 0.248 0.165 0.749
Pd 0.000 0.000 0.500
Au 0.000 0.165 0.000
Au 0.000 0.333 0.500
Au 0.000 0.500 0.000

Results
**Energy relative to the elements**: -0.8972 eV/atom
**Crystal system**: monoclinic
**E_tot**: -118.35 eV per cell

---

Entry 2:
CaB2I2 | PBE | relaxed

a b c (Å): 5.671 5.671 7.250
angles (deg): 90.00 90.00 90.00
Space group I4/mmm (No. 139)
One atom of each set of equivalent atoms:
Ca 0.000 0.000 0.000
B 0.000 0.000 0.381
I 0.000 0.500 0.250

Results
**Uncorrected formation energy**: 0.57 eV per atom
**Crystal system**: tetragonal
**E_tot**: -31.22 eV per cell

---

Entry 3:
AcY2Cd3 | PBE | relaxed

a b c (Å): 3.836 3.836 11.717
angles (deg): 90.00 90.00 90.00
Space group P4/mmm (No. 123)
One atom of each set of equivalent atoms:
Ac 0.000 0.000 0.000
Y 0.000 0.000 0.343
Cd 0.500 0.500 0.195
Cd 0.500 0.500 0.500

Results
**Energy relative to the elements**: -0.3161 eV/atom
**Crystal system**: tetragonal
**E_tot**: -21.68 eV per cell